The following is a DFT calculation (PBE with a Hubbard U) of crystalline BeFeF2 at its relaxed geometry.

a b c (Å): 8.8163 8.8163 8.8163
angles (deg): 17.23 17.23 17.23
Last column: nearest neighbours and their distance in Å.
Fractional coordinates of all 4 atoms:
Be (0.0000, 0.0000, 0.0000)  6 F 1.77
Fe (0.5000, 0.5000, 0.5000)  6 Fe 2.64
F (0.3678, 0.3678, 0.3678)  3 Be 1.77
F (0.6322, 0.6322, 0.6322)  3 Be 1.77

Calculated values
- magnetization (μB per formula unit) = 3.504
- symmetry = R-3m, No. 166
- density (g cm⁻³) = 3.26
- energy above the most stable polymorph in this dataset (eV per atom) = 0.000
- E_tot (eV per cell) = -19.61